# Ac8Si5Sb (PBE, relaxed)
data_Ac8Si5Sb
_cell_length_a 8.461
_cell_length_b 8.461
_cell_length_c 8.461
_cell_angle_alpha 109.25
_cell_angle_beta 109.25
_cell_angle_gamma 109.92
_space_group_name_H-M_alt 'P 1'
_space_group_IT_number 1
loop_
_space_group_symop_operation_xyz
'x,y,z'
loop_
_atom_site_label
_atom_site_type_symbol
_atom_site_fract_x
_atom_site_fract_y
_atom_site_fract_z
Ac1 Ac 0.125 0.251 0.749
Ac2 Ac 0.133 0.737 0.745
Ac3 Ac 0.263 0.007 0.395
Ac4 Ac 0.501 0.376 0.251
Ac5 Ac 0.612 0.867 0.605
Ac6 Ac 0.624 0.875 0.126
Ac7 Ac 0.749 0.499 0.874
Ac8 Ac 0.993 0.388 0.255
Si1 Si 0.248 0.627 0.125
Si2 Si 0.373 0.498 0.621
Si3 Si 0.502 0.123 0.875
Si4 Si 0.750 0.250 0.500
Si5 Si 0.877 0.752 0.379
Sb1 Sb 0.000 0.000 0.000
# M_tot: 0.00 μB/atom
# ρ: 7.4 g/cm3
# Raw total energy: -5.185 eV/atom